No. 1
VASP calculation (PBE) on La2Tb4SmY2 after structural relaxation.

space group	No. 12
ΔH_f (0 K)	-0.05	kcal/mol of atoms
crystal system	monoclinic

Unit cell a=9.628 b=9.628 c=9.666 alpha=115.24 beta=115.24 gamma=21.82
Element x y z (fractional)
La 0.166 0.166 0.000
La 0.834 0.834 0.000
Tb 0.019 0.019 0.336
Tb 0.314 0.314 0.663
Tb 0.686 0.686 0.337
Tb 0.981 0.981 0.664
Sm 0.500 0.500 0.000
Y 0.353 0.353 0.338
Y 0.647 0.647 0.662

No. 2
VASP calculation (PBE) on La2Tb5SmY after structural relaxation.

space group	No. 140
ΔH_f (0 K)	5.79	kcal/mol of atoms
crystal system	tetragonal

Unit cell a=10.076 b=10.076 c=10.076 alpha=128.94 beta=128.94 gamma=75.10
Element x y z (fractional)
La 0.118 0.618 0.737
La 0.382 0.118 0.500
La 0.618 0.882 0.500
La 0.882 0.382 0.263
Tb 0.000 0.000 0.000
Tb 0.076 0.141 0.500
Tb 0.141 0.641 0.065
Tb 0.359 0.424 0.500
Tb 0.424 0.924 0.065
Tb 0.500 0.500 0.000
Tb 0.576 0.076 0.935
Tb 0.641 0.576 0.500
Tb 0.859 0.359 0.935
Tb 0.924 0.859 0.500
Sm 0.250 0.250 0.000
Sm 0.750 0.750 0.000
Y 0.250 0.750 0.500
Y 0.750 0.250 0.500

No. 3
VASP calculation (PBE) on La6TbSm2Y after structural relaxation.

space group	No. 12
ΔH_f (0 K)	4.28	kcal/mol of atoms
crystal system	monoclinic

Unit cell a=6.756 b=6.756 c=9.244 alpha=104.72 beta=104.72 gamma=62.81
Element x y z (fractional)
La 0.074 0.536 0.198
La 0.128 0.128 0.421
La 0.464 0.926 0.802
La 0.536 0.074 0.198
La 0.872 0.872 0.579
La 0.926 0.464 0.802
Tb 0.000 0.000 0.000
Sm 0.425 0.425 0.828
Sm 0.575 0.575 0.172
Y 0.500 0.500 0.500

No. 4
VASP calculation (PBE) on La2Tb3Sm6Y after structural relaxation.

space group	No. 12
ΔH_f (0 K)	0.43	kcal/mol of atoms
crystal system	monoclinic

Unit cell a=6.286 b=6.286 c=12.040 alpha=95.01 beta=95.01 gamma=120.00
Element x y z (fractional)
La 0.167 0.833 0.000
La 0.833 0.167 0.000
Tb 0.000 0.000 0.500
Tb 0.334 0.666 0.500
Tb 0.666 0.334 0.500
Sm 0.083 0.415 0.746
Sm 0.253 0.253 0.255
Sm 0.415 0.083 0.746
Sm 0.585 0.917 0.254
Sm 0.747 0.747 0.745
Sm 0.917 0.585 0.254
Y 0.500 0.500 0.000

No. 5
VASP calculation (PBE) on La3TbSm2Y6 after structural relaxation.

space group	No. 12
ΔH_f (0 K)	0.32	kcal/mol of atoms
crystal system	monoclinic

Unit cell a=6.291 b=6.291 c=11.911 alpha=95.04 beta=95.04 gamma=120.00
Element x y z (fractional)
La 0.000 0.000 0.000
La 0.333 0.667 0.000
La 0.667 0.333 0.000
Tb 0.500 0.500 0.500
Sm 0.167 0.833 0.500
Sm 0.833 0.167 0.500
Y 0.085 0.418 0.254
Y 0.249 0.249 0.746
Y 0.418 0.085 0.254
Y 0.582 0.915 0.746
Y 0.751 0.751 0.254
Y 0.915 0.582 0.746

No. 6
VASP calculation (PBE) on La5Tb2SmY after structural relaxation.

space group	No. 36
ΔH_f (0 K)	2.89	kcal/mol of atoms
crystal system	orthorhombic

Unit cell a=11.298 b=11.298 c=10.639 alpha=90.00 beta=90.00 gamma=151.65
Element x y z (fractional)
La 0.000 0.000 0.000
La 0.000 0.000 0.500
La 0.123 0.877 0.750
La 0.221 0.779 0.441
La 0.222 0.778 0.060
La 0.500 0.500 0.250
La 0.500 0.500 0.750
La 0.778 0.222 0.560
La 0.779 0.221 0.941
La 0.877 0.123 0.250
Tb 0.387 0.613 0.001
Tb 0.387 0.613 0.500
Tb 0.613 0.387 0.000
Tb 0.613 0.387 0.501
Sm 0.288 0.712 0.750
Sm 0.712 0.288 0.250
Y 0.101 0.899 0.250
Y 0.899 0.101 0.750

No. 7
VASP calculation (PBE) on LaTbSmZn after structural relaxation.

space group	No. 216
ΔH_f (0 K)	0.74	kcal/mol of atoms
energy above the most stable polymorph in this dataset	0.1828	eV per atom
crystal system	cubic

Unit cell a=5.477 b=5.477 c=5.477 alpha=60.00 beta=60.00 gamma=60.00
Element x y z (fractional)
La 0.000 0.000 0.000
Tb 0.250 0.250 0.250
Sm 0.500 0.500 0.500
Zn 0.750 0.750 0.750

No. 8
VASP calculation (PBE) on LaTbSmZn after structural relaxation.

space group	No. 99
ΔH_f (0 K)	-3.48	kcal/mol of atoms
energy above the most stable polymorph in this dataset	0.0000	eV per atom
crystal system	tetragonal

Unit cell a=3.643 b=3.643 c=8.820 alpha=90.00 beta=90.00 gamma=90.00
Element x y z (fractional)
La 0.000 0.000 0.000
Tb 0.500 0.500 0.296
Sm 0.500 0.500 0.698
Zn 0.000 0.000 0.490

No. 9
VASP calculation (PBE) on LaSm2Tc after structural relaxation.

space group	No. 166
ΔH_f (0 K)	6.95	kcal/mol of atoms
energy above the most stable polymorph in this dataset	0.3441	eV per atom
crystal system	trigonal

Unit cell a=11.294 b=11.294 c=11.294 alpha=17.82 beta=17.82 gamma=17.82
Element x y z (fractional)
La 0.000 0.000 0.000
Sm 0.105 0.105 0.105
Sm 0.895 0.895 0.895
Tc 0.500 0.500 0.500

No. 10
VASP calculation (PBE) on LaSm2Tc after structural relaxation.

space group	No. 123
ΔH_f (0 K)	2.26	kcal/mol of atoms
energy above the most stable polymorph in this dataset	0.1405	eV per atom
crystal system	tetragonal

Unit cell a=3.517 b=3.517 c=9.319 alpha=90.00 beta=90.00 gamma=90.00
Element x y z (fractional)
La 0.000 0.000 0.000
Sm 0.500 0.500 0.319
Sm 0.500 0.500 0.681
Tc 0.000 0.000 0.500

Which value of ΔH_f (0 K) does entry 9 give?
6.95 kcal/mol of atoms

Which of these has the highest ΔH_f (0 K)?
number 9

Which value of ΔH_f (0 K) does entry 3 give?
4.28 kcal/mol of atoms